TbPmInAu | the Alexandria database | PBE-GGA | optimized geometry; ΔH_f (0 K) = -586 meV per atom; ρ = 9.696 g cm⁻³; DOS(E_F) = 1.0780 states/eV/atom; energy above the lowest structure with this stoichiometry = 69 meV per atom; volume = 26.4 Å³/atom
1.0
0.000 3.750 3.750
3.750 0.000 3.750
3.750 3.750 0.000
Tb Pm In Au
1 1 1 1
direct
0.000 0.000 0.000
0.500 0.500 0.500
0.250 0.250 0.250
0.750 0.750 0.750